Record 1
## Zr2TaIrPb (GGA-PBE)

Data for a relaxed Zr2TaIrPb crystal.

Results
- density (g/cm3) = 9.19
- E (eV/atom) = -6.354
- space-group type = P4/mmm, No. 123

Geometry as CIF:
```
data_Zr2TaIrPb
_chemical_formula_sum 'Zr2 Ta1 Ir1 Pb1'
_cell_length_a 5.225
_cell_length_b 5.051
_cell_length_c 5.225
_cell_angle_alpha 90.00
_cell_angle_beta 90.00
_cell_angle_gamma 90.00
_symmetry_space_group_name_H-M 'P 1'
_symmetry_Int_Tables_number 1
loop_
_symmetry_equiv_pos_as_xyz
'x,y,z'
loop_
_atom_site_label
_atom_site_type_symbol
_atom_site_fract_x
_atom_site_fract_y
_atom_site_fract_z
_atom_site_occupancy
Ir1 Ir 0.500 0.500 0.500 1
Ta1 Ta 0.000 0.500 0.000 1
Zr1 Zr 0.500 0.000 0.000 1
Pb1 Pb 0.000 0.000 0.000 1
Zr2 Zr 0.000 0.000 0.500 1
```

Record 2
## BaZn2GeRh (GGA-PBE)

Data for a relaxed BaZn2GeRh crystal.

Results
- density (g/cm3) = 6.34
- E (eV/atom) = -3.686
- space-group type = P4/mmm, No. 123

Geometry as CIF:
```
data_BaZn2GeRh
_chemical_formula_sum 'Ba1 Zn2 Ge1 Rh1'
_cell_length_a 4.932
_cell_length_b 4.932
_cell_length_c 4.775
_cell_angle_alpha 90.00
_cell_angle_beta 90.00
_cell_angle_gamma 90.00
_symmetry_space_group_name_H-M 'P 1'
_symmetry_Int_Tables_number 1
loop_
_symmetry_equiv_pos_as_xyz
'x,y,z'
loop_
_atom_site_label
_atom_site_type_symbol
_atom_site_fract_x
_atom_site_fract_y
_atom_site_fract_z
_atom_site_occupancy
Ba1 Ba 0.500 0.500 0.500 1
Zn1 Zn 0.000 0.500 0.000 1
Ge1 Ge 0.000 0.000 0.500 1
Zn2 Zn 0.500 0.000 0.000 1
Rh1 Rh 0.000 0.000 0.000 1
```

Record 3
## Zr2AlOs (GGA-PBE)

Data for a relaxed Zr2AlOs crystal.

Results
- density (g/cm3) = 8.80
- E (eV/atom) = -8.408
- space-group type = Imm2, No. 44

Geometry as CIF:
```
data_Zr2AlOs
_chemical_formula_sum 'Zr2 Al1 Os1'
_cell_length_a 5.697
_cell_length_b 5.697
_cell_length_c 4.686
_cell_angle_alpha 65.76
_cell_angle_beta 65.76
_cell_angle_gamma 33.30
_symmetry_space_group_name_H-M 'P 1'
_symmetry_Int_Tables_number 1
loop_
_symmetry_equiv_pos_as_xyz
'x,y,z'
loop_
_atom_site_label
_atom_site_type_symbol
_atom_site_fract_x
_atom_site_fract_y
_atom_site_fract_z
_atom_site_occupancy
Zr1 Zr 0.746 0.746 0.754 1
Os1 Os 0.247 0.247 0.254 1
Zr2 Zr 0.971 0.971 0.029 1
Al1 Al 0.536 0.536 0.464 1
```